#w
MgGa2Os2 after structural relaxation. Source: Alexandria, functional PBE.

The structure belongs to space group P4/mbm (No. 127); the cell edges are 7.270, 7.270 and 2.922 Å and the angles 90.00°, 90.00° and 90.00°. Symmetry generates all atoms from Mg at (0.000, 0.000, 0.000), Ga at (0.141, 0.359, 0.000) and Os at (0.155, 0.655, 0.500).

***

#x
MgGa2Os2 after structural relaxation. Source: Alexandria, functional PBE.

The structure belongs to space group I4/mmm (No. 139); the cell edges are 4.131, 4.131 and 10.549 Å and the angles 90.00°, 90.00° and 90.00°. Symmetry generates all atoms from Mg at (0.000, 0.000, 0.000), Ga at (0.000, 0.500, 0.250) and Os at (0.000, 0.000, 0.388).

***

Relative energies with respect to the most stable structure, expressed in meV per atom: #w 0; #x 212.